The following is a PBE calculation of Nd6TlCd5 after structural relaxation, from Alexandria.

Calculated values
- Symmetry: Cmmm
- Total magnetization: 0.22 μB per atom
- Calculated formation energy: -328 meV per atom
- Total DFT energy (no corrections): -3.290 eV/atom

extended XYZ file:
```
12
Lattice="2.7259 -8.1956 0.0000 2.7259 8.1956 0.0000 0.0000 0.0000 7.7626" Properties=species:S:1:pos:R:3 pbc="T T T"
Nd 0.0000 0.0000 1.9314
Nd 0.0000 0.0000 5.8312
Nd 2.7259 2.7348 1.9293
Nd 2.7259 2.7348 5.8333
Nd 2.7259 -2.7348 1.9293
Nd 2.7259 -2.7348 5.8333
Tl 2.7259 0.0000 3.8813
Cd 2.7259 5.4541 0.0000
Cd 2.7259 5.4255 3.8813
Cd 2.7259 0.0000 0.0000
Cd 2.7259 -5.4255 3.8813
Cd 2.7259 -5.4541 0.0000
```